i) The following is a DFT calculation (PBE) of a relaxed structure of BaGdIn2.

Cell: 8.0675 8.0675 8.0675 Å, 90.00 90.00 90.00°
Last column: nearest neighbours and their distance in Å.
Space group Fm-3m (No. 225)
Inequivalent atoms, fractional coordinates:
1 Ba 0.0000 0.0000 0.0000  8 In 3.49
2 Gd 0.0000 0.0000 0.5000  8 In 3.49
3 In 0.2500 0.2500 0.2500  4 Gd 3.49, 4 Ba 3.49

Values from the calculation:
Its density is 6.63 g/cm³. As for the magnetic moment: 29.95 μB/cell.


ii) The following is a DFT calculation (PBE) of a relaxed structure of BaGdIn2.

Cell: 3.9977 3.9977 8.1640 Å, 90.00 90.00 90.00°
Last column: nearest neighbours and their distance in Å.
Space group P4/mmm (No. 123)
Inequivalent atoms, fractional coordinates:
1 Ba 0.0000 0.0000 0.0000  8 In 3.69, 4 Ba 4.00, 2 Gd 4.08
2 Gd 0.0000 0.0000 0.5000  8 In 3.30
3 In 0.5000 0.5000 0.2914  4 Gd 3.30, 1 In 3.41, 4 Ba 3.69

Values from the calculation:
Its density is 6.67 g/cm³. As for the magnetic moment: 7.37 μB/cell.


iii) The following is a DFT calculation (PBE) of a relaxed structure of BaGdIn2.

Cell: 3.9138 3.9138 31.2239 Å, 90.00 90.00 120.00°
Last column: nearest neighbours and their distance in Å.
Space group R-3m (No. 166, hexagonal axes)
Inequivalent atoms, fractional coordinates:
1 Ba 0.0000 0.0000 0.0000  6 In 3.61, 6 Ba 3.91
2 Gd 0.0000 0.0000 0.5000  6 In 3.29
3 In 0.0000 0.0000 0.2431  3 Gd 3.29, 3 Ba 3.61

Values from the calculation:
Its density is 6.30 g/cm³. As for the magnetic moment: 22.40 μB/cell.


ii) (110 meV per atom below the next structure)


i) The following is a DFT calculation (PBE) of a relaxed structure of BaGd2In.

Cell: 3.7667 3.7667 10.0980 Å, 90.00 90.00 90.00°
Last column: nearest neighbours and their distance in Å.
Space group P4/mmm (No. 123)
Inequivalent atoms, fractional coordinates:
1 Ba 0.0000 0.0000 0.0000  4 Ba 3.77, 8 Gd 4.11
2 Gd 0.5000 0.5000 0.3105  4 In 3.28
3 In 0.0000 0.0000 0.5000  8 Gd 3.28

Values from the calculation:
Its density is 6.57 g/cm³. As for the magnetic moment: 15.05 μB/cell.


ii) The following is a DFT calculation (PBE) of a relaxed structure of BaGd2In.

Cell: 3.7056 3.7056 36.3422 Å, 90.00 90.00 120.00°
Last column: nearest neighbours and their distance in Å.
Space group R-3m (No. 166, hexagonal axes)
Inequivalent atoms, fractional coordinates:
1 Ba 0.0000 0.0000 0.0000  2 Gd 3.64, 6 Ba 3.71
2 Gd 0.0000 0.0000 0.1001  3 In 3.23
3 In 0.0000 0.0000 0.5000  6 Gd 3.23

Values from the calculation:
Its density is 6.53 g/cm³. As for the magnetic moment: 45.02 μB/cell.


i) (185 meV per atom below the next structure)


i) The following is a DFT calculation (PBE) of a relaxed structure of KBa2Gd.

Cell: 4.1309 4.1309 12.8124 Å, 90.00 90.00 90.00°
Last column: nearest neighbours and their distance in Å.
Space group P4/mmm (No. 123)
Inequivalent atoms, fractional coordinates:
1 K 0.0000 0.0000 0.0000  4 K 4.13
2 Ba 0.5000 0.5000 0.2876  4 Gd 3.99, 4 Ba 4.13
3 Gd 0.0000 0.0000 0.5000  8 Ba 3.99, 4 Gd 4.13

Values from the calculation:
Its density is 3.58 g/cm³. As for the magnetic moment: 8.82 μB/cell.


ii) The following is a DFT calculation (PBE) of a relaxed structure of KBa2Gd.

Cell: 3.9905 3.9905 45.2753 Å, 90.00 90.00 120.00°
Last column: nearest neighbours and their distance in Å.
Space group R-3m (No. 166, hexagonal axes)
Inequivalent atoms, fractional coordinates:
1 K 0.0000 0.0000 0.0000  6 K 3.99
2 Ba 0.0000 0.0000 0.4208  1 Gd 3.59, 6 Ba 3.99
3 Gd 0.0000 0.0000 0.5000  2 Ba 3.59, 6 Gd 3.99

Values from the calculation:
Its density is 3.76 g/cm³. As for the magnetic moment: 22.59 μB/cell.


i) (184 meV per atom below the next structure)


i) The following is a DFT calculation (PBE) of a relaxed structure of BaLaGd2.

Cell: 3.7622 3.7622 10.9913 Å, 90.00 90.00 90.00°
Last column: nearest neighbours and their distance in Å.
Space group P4/mmm (No. 123)
Inequivalent atoms, fractional coordinates:
1 Ba 0.0000 0.0000 0.0000  4 Ba 3.76, 8 Gd 4.07
2 La 0.0000 0.0000 0.5000  8 Gd 3.60, 4 La 3.76
3 Gd 0.5000 0.5000 0.2799  4 La 3.60, 4 Gd 3.76

Values from the calculation:
Its density is 6.31 g/cm³. As for the magnetic moment: 15.27 μB/cell.


ii) The following is a DFT calculation (PBE) of a relaxed structure of BaLaGd2.

Cell: 3.6821 3.6821 39.0777 Å, 90.00 90.00 120.00°
Last column: nearest neighbours and their distance in Å.
Space group R-3m (No. 166, hexagonal axes)
Inequivalent atoms, fractional coordinates:
1 Ba 0.0000 0.0000 0.0000  2 Gd 3.61, 6 Ba 3.68
2 La 0.0000 0.0000 0.5000  6 Gd 3.60, 6 La 3.68
3 Gd 0.0000 0.0000 0.0924  3 La 3.60, 1 Ba 3.61, 6 Gd 3.68

Values from the calculation:
Its density is 6.41 g/cm³. As for the magnetic moment: 45.17 μB/cell.


i) (74 meV per atom below the next structure)


i) The following is a DFT calculation (PBE) of a relaxed structure of Ba2GdMg.

Cell: 4.1011 4.1011 10.2796 Å, 90.00 90.00 90.00°
Last column: nearest neighbours and their distance in Å.
Space group P4/mmm (No. 123)
Inequivalent atoms, fractional coordinates:
1 Ba 0.0000 0.0000 0.2288  4 Mg 3.73, 4 Gd 4.02, 4 Ba 4.10
2 Gd 0.5000 0.5000 0.5000  8 Ba 4.02, 4 Gd 4.10
3 Mg 0.5000 0.5000 0.0000  8 Ba 3.73, 4 Mg 4.10

Values from the calculation:
Its density is 4.38 g/cm³. As for the magnetic moment: 8.54 μB/cell.


ii) The following is a DFT calculation (PBE) of a relaxed structure of Ba2GdMg.

Cell: 3.8221 3.8221 39.9585 Å, 90.00 90.00 120.00°
Last column: nearest neighbours and their distance in Å.
Space group R-3m (No. 166, hexagonal axes)
Inequivalent atoms, fractional coordinates:
1 Ba 0.0000 0.0000 0.0907  1 Gd 3.63, 3 Mg 3.75, 6 Ba 3.82
2 Gd 0.0000 0.0000 0.0000  2 Ba 3.63, 6 Gd 3.82
3 Mg 0.0000 0.0000 0.5000  6 Ba 3.75, 6 Mg 3.82

Values from the calculation:
Its density is 4.50 g/cm³. As for the magnetic moment: 22.90 μB/cell.


i) (212 meV per atom below the next structure)


i) The following is a DFT calculation (PBE) of a relaxed structure of BaSrGdNbO6.

Cell: 8.5568 8.5568 8.5568 Å, 90.00 90.00 90.00°
Last column: nearest neighbours and their distance in Å.
Space group F-43m (No. 216)
Inequivalent atoms, fractional coordinates:
1 Ba 0.0000 0.0000 0.0000  12 O 3.03
2 Sr 0.0000 0.0000 0.5000  12 O 3.03
3 Gd 0.2500 0.2500 0.2500  6 O 2.26
4 Nb 0.2500 0.2500 0.7500  6 O 2.02
5 O 0.0142 0.2500 0.7500  1 Nb 2.02

Values from the calculation:
Its density is 6.05 g/cm³. As for the magnetic moment: 27.92 μB/cell.


ii) The following is a DFT calculation (PBE) of a relaxed structure of BaSrGdNbO6.

Cell: 6.0034 6.0194 8.4951 Å, 89.73 89.75 89.77°
Last column: nearest neighbours and their distance in Å.
Space group P-1 (No. 2)
Inequivalent atoms, fractional coordinates:
1 Ba 0.0052 0.0183 0.2501  8 O 2.73-3.01
2 Sr 0.4965 0.5264 0.2492  4 O 2.58-2.63
3 Gd 0.0000 0.5000 0.0000  6 O 2.28-2.31
4 Gd 0.5000 0.0000 0.5000  6 O 2.28-2.31
5 Nb 0.0000 0.5000 0.5000  6 O 2.02-2.04
6 Nb 0.5000 0.0000 0.0000  6 O 2.02-2.05
7 O 0.0751 0.4888 0.7339  1 Nb 2.04
8 O 0.2071 0.7624 0.4743  1 Nb 2.02
9 O 0.2344 0.7961 0.0205  1 Nb 2.02
10 O 0.2642 0.2965 0.4534  1 Nb 2.04
11 O 0.3030 0.2706 0.0455  1 Nb 2.05
12 O 0.4443 0.0417 0.7660  1 Nb 2.03

Values from the calculation:
Its density is 6.18 g/cm³. As for the magnetic moment: 13.91 μB/cell.


ii) (36 meV per atom below the next structure)